Density functional theory data (PBE-GGA) for an optimized crystal structure of LaPaIn6.

total moment: 0.99 μB/cell
formation enthalpy at 0 K: -306.5 meV per atom
final energy: -4.163 eV per atom
DOS at the Fermi energy: 0.869 states/eV/atom
space-group type: No. 123

Cell: 4.712 4.712 9.419 Å, 90.00 90.00 90.00°
Site moments in Bohr magnetons follow the coordinates.
Fractional positions:
1 La 0.000 0.000 0.000  0.00
2 In 0.500 0.000 0.744  0.01
3 In 0.000 0.500 0.256  0.01
4 In 0.000 0.500 0.744  0.01
5 In 0.500 0.500 0.000  0.00
6 In 0.500 0.000 0.256  0.01
7 In 0.500 0.500 0.500  0.02
8 Pa 0.000 0.000 0.500  0.78

Density functional theory data (PBE-GGA) for an optimized crystal structure of LaPaIn2.

total moment: 0.01 μB/cell
formation enthalpy at 0 K: -213.9 meV per atom
final energy: -5.189 eV per atom
DOS at the Fermi energy: 1.602 states/eV/atom
energy above the most stable polymorph in this dataset: 0.0 meV per atom
space-group type: No. 123

Cell: 3.380 3.380 9.514 Å, 90.00 90.00 90.00°
Fractional positions:
1 In 0.000 0.000 0.760
2 In 0.000 0.000 0.240
3 La 0.500 0.500 0.500
4 Pa 0.500 0.500 0.000

Density functional theory data (PBE-GGA) for an optimized crystal structure of LaPaIn2.

total moment: 0.00 μB/cell
formation enthalpy at 0 K: -107.1 meV per atom
final energy: -5.082 eV per atom
DOS at the Fermi energy: 1.466 states/eV/atom
energy above the most stable polymorph in this dataset: 106.8 meV per atom
space-group type: No. 166

Cell: 3.313 3.313 11.551 Å, 81.76 81.76 60.00°
Fractional positions:
1 In 0.252 0.252 0.244
2 In 0.748 0.748 0.756
3 Pa 0.000 0.000 0.000
4 La 0.500 0.500 0.500

Density functional theory data (PBE-GGA) for an optimized crystal structure of LaPaIn4.

total moment: 1.97 μB/cell
formation enthalpy at 0 K: -149.1 meV per atom
final energy: -4.379 eV per atom
DOS at the Fermi energy: 1.611 states/eV/atom
space-group type: No. 216

Cell: 6.074 6.074 6.074 Å, 60.00 60.00 60.00°
Site moments in Bohr magnetons follow the coordinates.
Fractional positions:
1 In 0.124 0.625 0.625  -0.01
2 In 0.625 0.625 0.625  -0.01
3 In 0.625 0.625 0.124  -0.01
4 In 0.625 0.124 0.625  -0.01
5 La 0.250 0.250 0.250  0.19
6 Pa 0.000 0.000 0.000  1.25

Density functional theory data (PBE-GGA) for an optimized crystal structure of LaPuPaIn.

total moment: 7.63 μB/cell
formation enthalpy at 0 K: 134.4 meV per atom
final energy: -7.739 eV per atom
DOS at the Fermi energy: 2.571 states/eV/atom
space-group type: No. 216

Cell: 5.372 5.372 5.372 Å, 60.00 60.00 60.00°
Site moments in Bohr magnetons follow the coordinates.
Fractional positions:
1 La 0.000 0.000 0.000  0.11
2 Pu 0.500 0.500 0.500  5.49
3 Pa 0.750 0.750 0.750  1.25
4 In 0.250 0.250 0.250  -0.01

Density functional theory data (PBE-GGA) for an optimized crystal structure of La2InPb.

total moment: 0.00 μB/cell
formation enthalpy at 0 K: -558.7 meV per atom
final energy: -4.634 eV per atom
DOS at the Fermi energy: 0.841 states/eV/atom
space-group type: No. 74

Cell: 7.301 6.929 6.929 Å, 64.92 58.21 58.21°
Fractional positions:
1 In 0.750 0.221 0.279
2 In 0.250 0.779 0.721
3 La 0.270 0.730 0.230
4 La 0.730 0.270 0.770
5 La 0.230 0.270 0.770
6 La 0.770 0.730 0.230
7 Pb 0.750 0.783 0.717
8 Pb 0.250 0.217 0.283

Density functional theory data (PBE-GGA) for an optimized crystal structure of LaIn2Pb2.

total moment: 0.00 μB/cell
formation enthalpy at 0 K: -133.8 meV per atom
final energy: -3.698 eV per atom
DOS at the Fermi energy: 0.742 states/eV/atom
energy above the most stable polymorph in this dataset: 178.9 meV per atom
space-group type: No. 139

Cell: 4.452 4.452 8.587 Å, 74.98 74.98 90.00°
Fractional positions:
1 La 0.000 0.000 0.000
2 In 0.250 0.750 0.500
3 In 0.750 0.250 0.500
4 Pb 0.598 0.598 0.804
5 Pb 0.402 0.402 0.196

Density functional theory data (PBE-GGA) for an optimized crystal structure of LaIn2Pb.

total moment: 0.00 μB/cell
formation enthalpy at 0 K: -123.6 meV per atom
final energy: -3.652 eV per atom
DOS at the Fermi energy: 0.899 states/eV/atom
space-group type: No. 160

Cell: 10.813 10.813 10.813 Å, 19.24 19.24 19.24°
Fractional positions:
1 In 0.255 0.255 0.255
2 In 0.998 0.998 0.998
3 Pb 0.745 0.745 0.745
4 La 0.502 0.502 0.502